Entry from the Alexandria database: crystalline PaCr2Re at its relaxed geometry (GGA-PBE).

Unit cell a=3.0951 b=4.5060 c=4.5060 alpha=90.00 beta=90.00 gamma=90.00
With the nearest neighbours (Å) after each atom.
Sites, in units of the cell vectors:
Re  0.5000  0.5000  0.5000  8 Cr 2.73
Pa  0.5000  0.0000  0.0000  8 Cr 2.73
Cr  0.0000  0.0000  0.5000  4 Pa 2.73, 4 Re 2.73
Cr  0.0000  0.5000  0.0000  4 Re 2.73, 4 Pa 2.73

## Properties
- DOS at the Fermi energy (states/eV per cell) = 6.873
- E_form (eV per atom) = 0.29
- space-group type = P4/mmm
- E above lowest polymorph (meV per atom) = 131
- volume (Å³ per cell) = 62.84

=====

Entry from the Alexandria database: crystalline YTmTeO6 at its relaxed geometry (GGA-PBE).

Unit cell a=5.4999 b=5.4999 c=9.5283 alpha=90.00 beta=90.00 gamma=120.00
With the nearest neighbours (Å) after each atom.
Sites, in units of the cell vectors:
Y  0.0000  0.0000  0.0000  6 O 2.33
Y  0.0000  0.0000  0.5000  6 O 2.33
Tm  0.3333  0.6667  0.2500  6 O 2.23
Tm  0.6667  0.3333  0.7500  6 O 2.23
Te  0.6667  0.3333  0.2500  6 O 1.96
Te  0.3333  0.6667  0.7500  6 O 1.96
O  0.6672  0.6291  0.1354  1 Te 1.96
O  0.9619  0.3328  0.1354  1 Te 1.96
O  0.3328  0.9619  0.6354  1 Te 1.96
O  0.0381  0.6672  0.8646  1 Te 1.96
O  0.3709  0.3328  0.3646  1 Te 1.96
O  0.9619  0.6291  0.3646  1 Te 1.96
O  0.6291  0.9619  0.8646  1 Te 1.96
O  0.6672  0.0381  0.3646  1 Te 1.96
O  0.0381  0.3709  0.6354  1 Te 1.96
O  0.3709  0.0381  0.1354  1 Te 1.96
O  0.6291  0.6672  0.6354  1 Te 1.96
O  0.3328  0.3709  0.8646  1 Te 1.96

## Properties
- DOS at the Fermi energy (states/eV per cell) = 0.000
- raw formation energy (eV per formula unit) = -22.34
- space-group type = P-31c
- volume (Å³ per cell) = 249.61

=====

Entry from the Alexandria database: crystalline Ac6TlSi2Cl3 at its relaxed geometry (GGA-PBE).

Unit cell a=4.5914 b=8.9782 c=10.0701 alpha=98.28 beta=103.18 gamma=90.00
With the nearest neighbours (Å) after each atom.
Sites, in units of the cell vectors:
Ac  0.3309  0.8953  0.6619  2 Si 3.12, 3 Cl 3.17-3.33, 1 Tl 3.31
Ac  0.6716  0.5776  0.3431  3 Si 3.11-3.13, 3 Cl 3.27-3.33
Ac  0.6691  0.1047  0.3381  2 Si 3.12, 3 Cl 3.17-3.33, 1 Tl 3.31
Ac  0.0081  0.2640  0.0162  1 Si 3.12, 3 Cl 3.14-3.43, 2 Tl 3.29
Ac  0.9919  0.7360  0.9838  1 Si 3.12, 3 Cl 3.14-3.43, 2 Tl 3.29
Ac  0.3284  0.4224  0.6569  3 Si 3.11-3.13, 3 Cl 3.27-3.33
Tl  0.5000  0.0000  0.0000  6 Ac 3.29-3.31
Si  0.8314  0.6607  0.6627  6 Ac 3.11-3.13
Si  0.1686  0.3393  0.3373  6 Ac 3.11-3.13
Cl  0.5000  0.5000  0.0000  6 Ac 3.14-3.33
Cl  0.8323  0.1639  0.6646  6 Ac 3.17-3.43
Cl  0.1677  0.8361  0.3354  6 Ac 3.17-3.43

## Properties
- DOS at the Fermi energy (states/eV per cell) = 5.879
- raw formation energy (eV per formula unit) = -12.65
- space-group type = C2/m
- volume (Å³ per cell) = 399.73

=====

Entry from the Alexandria database: crystalline YPdAu at its relaxed geometry (GGA-PBE).

Unit cell a=4.6265 b=4.6265 c=4.6265 alpha=60.00 beta=60.00 gamma=60.00
With the nearest neighbours (Å) after each atom.
Sites, in units of the cell vectors:
Y  0.5000  0.5000  0.5000  4 Pd 2.83
Au  0.0000  0.0000  0.0000  4 Pd 2.83
Pd  0.2500  0.2500  0.2500  4 Y 2.83, 4 Au 2.83

## Properties
- DOS at the Fermi energy (states/eV per cell) = 1.368
- E_form (eV per atom) = -0.70
- space-group type = F-43m
- volume (Å³ per cell) = 70.02

=====

Entry from the Alexandria database: crystalline PmHfIrPd at its relaxed geometry (GGA-PBE).

Unit cell a=4.8421 b=4.8421 c=4.8421 alpha=60.00 beta=60.00 gamma=60.00
With the nearest neighbours (Å) after each atom.
Sites, in units of the cell vectors:
Ir  0.0000  0.0000  0.0000  4 Hf 2.97, 4 Pm 2.97
Hf  0.7500  0.7500  0.7500  4 Ir 2.97, 4 Pd 2.97
Pd  0.5000  0.5000  0.5000  4 Pm 2.97, 4 Hf 2.97
Pm  0.2500  0.2500  0.2500  4 Ir 2.97, 4 Pd 2.97

## Properties
- DOS at the Fermi energy (states/eV per cell) = 4.734
- E_form (eV per atom) = -0.64
- space-group type = F-43m
- volume (Å³ per cell) = 80.28

=====

Entry from the Alexandria database: crystalline UBeP2N6 at its relaxed geometry (GGA-PBE).

Unit cell a=5.4822 b=6.6247 c=6.6247 alpha=81.74 beta=71.49 gamma=71.49
With the nearest neighbours (Å) after each atom.
Sites, in units of the cell vectors:
U  0.2500  0.8484  0.1516  4 N 2.13-2.20
U  0.7500  0.1516  0.8484  4 N 2.13-2.20
Be  0.2500  0.2013  0.7987  4 N 1.68-1.73
Be  0.7500  0.7987  0.2013  4 N 1.68-1.73
P  0.3095  0.7733  0.6294  4 N 1.62-1.67
P  0.1905  0.3706  0.2267  4 N 1.62-1.67
P  0.6905  0.2267  0.3706  4 N 1.62-1.67
P  0.8095  0.6294  0.7733  4 N 1.62-1.67
N  0.1735  0.9658  0.8025  1 P 1.66, 1 Be 1.73
N  0.3265  0.1975  0.0342  1 P 1.66, 1 Be 1.73
N  0.8265  0.0342  0.1975  1 P 1.66, 1 Be 1.73
N  0.6735  0.8025  0.9658  1 P 1.66, 1 Be 1.73
N  0.4477  0.8377  0.3842  1 P 1.62, 1 Be 1.68
N  0.0523  0.6158  0.1623  1 P 1.62, 1 Be 1.68
N  0.5523  0.1623  0.6158  1 P 1.62, 1 Be 1.68
N  0.9477  0.3842  0.8377  1 P 1.62, 1 Be 1.68
N  0.0426  0.7256  0.5997  2 P 1.65-1.67
N  0.4574  0.4003  0.2744  2 P 1.65-1.67
N  0.9574  0.2744  0.4003  2 P 1.65-1.67
N  0.5426  0.5997  0.7256  2 P 1.65-1.67

## Properties
- raw formation energy (eV per formula unit) = -6.63
- space-group type = C2/c
- volume (Å³ per cell) = 216.11

=====

Entry from the Alexandria database: crystalline BaRh3Au at its relaxed geometry (GGA-PBE).

Unit cell a=5.0019 b=5.0019 c=5.0019 alpha=90.00 beta=90.00 gamma=90.00
With the nearest neighbours (Å) after each atom.
Sites, in units of the cell vectors:
Rh  0.0000  0.5000  0.0000  2 Au 2.50
Rh  0.0000  0.0000  0.5000  2 Au 2.50
Rh  0.5000  0.0000  0.0000  2 Au 2.50
Au  0.0000  0.0000  0.0000  6 Rh 2.50
Ba  0.5000  0.5000  0.5000  12 Rh 3.54

## Properties
- DOS at the Fermi energy (states/eV per cell) = 15.462
- E_form (eV per atom) = 0.77
- space-group type = Pm-3m
- E above lowest polymorph (meV per atom) = 0
- volume (Å³ per cell) = 125.14

=====

Entry from the Alexandria database: crystalline Sc4InRu at its relaxed geometry (GGA-PBE).

Unit cell a=4.7061 b=4.7178 c=8.0620 alpha=72.97 beta=73.03 gamma=60.08
With the nearest neighbours (Å) after each atom.
Sites, in units of the cell vectors:
Sc  0.6346  0.6352  0.0955  3 Ru 2.81-2.82, 1 In 3.07, 3 Sc 3.08
Sc  0.3654  0.3648  0.9045  3 Ru 2.81-2.82, 1 In 3.07, 3 Sc 3.08
Sc  0.1132  0.1113  0.6624  1 Ru 2.56
Sc  0.8868  0.8887  0.3376  1 Ru 2.56
In  0.5000  0.5000  0.5000  8 Sc 2.99-3.07
Ru  0.0000  0.0000  0.0000  8 Sc 2.56-2.82

## Properties
- DOS at the Fermi energy (states/eV per cell) = 5.659
- E_form (eV per atom) = -0.20
- space-group type = C2/m
- E above lowest polymorph (meV per atom) = 0
- volume (Å³ per cell) = 146.03

=====

Entry from the Alexandria database: crystalline TbScZnSi at its relaxed geometry (GGA-PBE).

Unit cell a=4.8404 b=4.8404 c=4.8404 alpha=60.00 beta=60.00 gamma=60.00
With the nearest neighbours (Å) after each atom.
Sites, in units of the cell vectors:
Sc  0.5000  0.5000  0.5000  4 Zn 2.96, 4 Si 2.96
Zn  0.2500  0.2500  0.2500  4 Sc 2.96, 4 Tb 2.96
Tb  0.0000  0.0000  0.0000  4 Zn 2.96, 4 Si 2.96
Si  0.7500  0.7500  0.7500  4 Tb 2.96, 4 Sc 2.96

## Properties
- DOS at the Fermi energy (states/eV per cell) = 1.683
- raw formation energy (eV per formula unit) = -1.84
- space-group type = F-43m
- volume (Å³ per cell) = 80.19

=====

Entry from the Alexandria database: crystalline ScBeNb at its relaxed geometry (GGA-PBE).

Unit cell a=2.9121 b=2.9121 c=6.2204 alpha=103.54 beta=103.54 gamma=90.00
With the nearest neighbours (Å) after each atom.
Sites, in units of the cell vectors:
Sc  0.0144  0.0144  0.0289  4 Be 2.78, 4 Sc 2.91
Be  0.6737  0.6737  0.3474  4 Nb 2.62, 4 Sc 2.78, 4 Be 2.91
Nb  0.3119  0.3119  0.6238  4 Be 2.62, 4 Nb 2.91

## Properties
- DOS at the Fermi energy (states/eV per cell) = 2.413
- E_form (eV per atom) = 0.06
- space-group type = I4mm
- E above lowest polymorph (meV per atom) = 70
- volume (Å³ per cell) = 49.78

=====

Entry from the Alexandria database: crystalline SbS2N2 at its relaxed geometry (GGA-PBE).

Unit cell a=3.7415 b=3.7414 c=12.3370 alpha=62.89 beta=109.27 gamma=119.99
With the nearest neighbours (Å) after each atom.
Sites, in units of the cell vectors:
Sb  0.0000  0.0000  0.0000  6 S 2.66
S  0.3972  0.4851  0.1421  3 Sb 2.66
S  0.6028  0.5149  0.8579  3 Sb 2.66
N  0.3829  0.5030  0.4580  1 N 1.11
N  0.6171  0.4970  0.5420  1 N 1.11

## Properties
- DOS at the Fermi energy (states/eV per cell) = 2.031
- raw formation energy (eV per formula unit) = -0.25
- space-group type = P-1
- E above lowest polymorph (meV per atom) = 0
- volume (Å³ per cell) = 131.96

=====

Entry from the Alexandria database: crystalline Pm7Pr2Y at its relaxed geometry (GGA-PBE).

Unit cell a=3.5794 b=10.3722 c=10.3722 alpha=109.15 beta=90.00 gamma=90.00
With the nearest neighbours (Å) after each atom.
Sites, in units of the cell vectors:
Pm  0.0000  0.6743  0.3257  2 Pr 3.15, 2 Pm 3.45
Pm  0.0000  0.3257  0.6743  2 Pr 3.15, 2 Pm 3.45
Pm  0.5000  0.1291  0.3798  1 Pr 3.16
Pm  0.5000  0.8709  0.6202  1 Pr 3.16
Pm  0.5000  0.3798  0.1291  1 Pr 3.16
Pm  0.5000  0.6202  0.8709  1 Pr 3.16
Pm  0.5000  0.5000  0.5000  10 Pm 3.45-3.63
Pr  0.5000  0.8278  0.1722  4 Pm 3.15-3.16, 2 Y 3.42
Pr  0.5000  0.1722  0.8278  4 Pm 3.15-3.16, 2 Y 3.42
Y  0.0000  0.0000  0.0000  4 Pr 3.42, 2 Y 3.58

## Properties
- DOS at the Fermi energy (states/eV per cell) = 14.781
- E_form (eV per atom) = 0.38
- space-group type = Cmmm
- E above lowest polymorph (meV per atom) = 232
- volume (Å³ per cell) = 363.77